Crystalline Mg6TiZnO8 at its relaxed geometry, computed with PBE.

Lattice parameters (Å, degrees): 4.292 4.292 8.656 90.00 90.00 90.00
Last column: magnetic moment on the atom in μB.
Positions (direct):
Mg 0.000 0.000 0.500  0.00
Mg 0.500 0.500 0.500  0.00
Mg 0.000 0.500 0.253  0.00
Mg 0.000 0.500 0.747  0.00
Mg 0.500 0.000 0.253  0.00
Mg 0.500 0.000 0.747  0.00
Ti 0.500 0.500 0.000  1.46
Zn 0.000 0.000 0.000  0.02
O 0.000 0.000 0.257  0.00
O 0.000 0.000 0.743  0.00
O 0.500 0.500 0.254  0.01
O 0.500 0.500 0.746  0.01
O 0.000 0.500 0.000  -0.01
O 0.000 0.500 0.500  0.00
O 0.500 0.000 0.000  -0.01
O 0.500 0.000 0.500  0.00

## Properties
The energy above the most stable polymorph in this dataset comes out at 0.03 eV/f.u. As for the formation energy (no corrections): -2.42 eV per atom. The symmetry is P4/mmm, No. 123.


Crystalline MgZrTi2O at its relaxed geometry, computed with PBE.

Lattice parameters (Å, degrees): 4.168 4.168 4.604 90.00 90.00 90.00
Positions (direct):
Mg 0.500 0.500 0.500
O 0.000 0.000 0.000
Zr 0.000 0.000 0.500
Ti 0.000 0.500 0.000
Ti 0.500 0.000 0.000

## Properties
As for the formation energy (no corrections): -1.00 eV per atom. The symmetry is P4/mmm, No. 123.


Crystalline MgTl2O at its relaxed geometry, computed with PBE.

Lattice parameters (Å, degrees): 7.273 7.273 6.196 54.06 54.06 90.00
Positions (direct):
Tl 0.563 0.125 0.250
Tl 0.187 0.625 0.250
Tl 0.375 0.437 0.750
Tl 0.875 0.813 0.750
Mg 0.000 0.000 0.000
Mg 0.750 0.250 0.500
O 0.500 0.500 0.000
O 0.250 0.750 0.500

## Properties
The energy above the most stable polymorph in this dataset comes out at 0.00 eV/f.u. As for the formation energy (no corrections): -0.25 eV per atom. The symmetry is I-42d, No. 122.